Record 1
## BaLi2ZrF8 (PBE)

Data for an optimized crystal structure of BaLi2ZrF8.

SG = C2/m (12)

a b c (Å): 4.9674 4.9674 8.1463
angles (deg): 87.11 87.11 73.00
Fractional positions:
F 0.6880 0.6880 0.4358
F 0.3120 0.3120 0.5642
F 0.7761 0.2269 0.1924
F 0.2530 0.2530 0.9723
F 0.2239 0.7731 0.8076
F 0.7731 0.2239 0.8076
F 0.7470 0.7470 0.0277
F 0.2269 0.7761 0.1924
Li 0.3887 0.3887 0.7684
Li 0.6113 0.6113 0.2316
Ba 0.0000 0.0000 0.5000
Zr 0.0000 0.0000 0.0000

***

Record 2
## BaLiZr2F11 (PBE)

Data for an optimized crystal structure of BaLiZr2F11.

SG = I4/m (87)

a b c (Å): 8.2126 8.2126 8.2126
angles (deg): 118.84 118.84 92.01
Fractional positions:
F 0.3217 0.5996 0.1313
F 0.0533 0.4913 0.2176
F 0.4004 0.5317 0.7221
F 0.5996 0.4683 0.2779
F 0.6783 0.4004 0.8687
F 0.5317 0.8095 0.1313
F 0.9467 0.5087 0.7824
F 0.1642 0.9467 0.4380
F 0.8153 0.1238 0.9391
F 0.5000 0.0000 0.5000
F 0.7263 0.1642 0.2176
F 0.8358 0.0533 0.5620
F 0.4913 0.2737 0.4380
F 0.8762 0.8153 0.6914
F 0.2737 0.8358 0.7824
F 0.8095 0.6783 0.2779
F 0.1847 0.8762 0.0609
F 0.0000 0.5000 0.5000
F 0.5087 0.7263 0.5620
F 0.1905 0.3217 0.7221
F 0.4683 0.1905 0.8687
F 0.1238 0.1847 0.3086
Zr 0.2166 0.6360 0.8526
Zr 0.7834 0.3640 0.1474
Zr 0.3640 0.2166 0.5807
Zr 0.6360 0.7834 0.4193
Li 0.2500 0.7500 0.5000
Li 0.7500 0.2500 0.5000
Ba 0.8091 0.8091 0.0000
Ba 0.1909 0.1909 0.0000

***

Record 3
## BaMgF2 (PBE)

Data for an optimized crystal structure of BaMgF2.

Polymorph energy (0 for the lowest one) = 0.4558 eV per atom
SG = Fm-3m (225)

a b c (Å): 4.9057 4.9057 4.9057
angles (deg): 60.00 60.00 60.00
Fractional positions:
Ba 0.5000 0.5000 0.5000
F 0.2500 0.2500 0.2500
F 0.7500 0.7500 0.7500
Mg 0.0000 0.0000 0.0000

***

Record 4
## Ba12Mg3F5 (PBE)

Data for an optimized crystal structure of Ba12Mg3F5.

SG = Ia-3d (230)

a b c (Å): 16.1606 16.1606 16.1606
angles (deg): 109.47 109.47 109.47
Site moments in Bohr magnetons follow the coordinates.
Fractional positions:
Ba 0.6889 0.2045 0.5916  0.06
Ba 0.7045 0.1129 0.0156  0.06
Ba 0.1889 0.0973 0.9844  0.06
Ba 0.4084 0.2955 0.3111  0.06
Ba 0.9844 0.5973 0.1889  0.06
Ba 0.2955 0.8871 0.9844  0.06
Ba 0.8111 0.9084 0.2955  0.06
Ba 0.5916 0.7045 0.6889  0.06
Ba 0.2045 0.5156 0.6129  0.06
Ba 0.7955 0.3111 0.9084  0.06
Ba 0.0973 0.9084 0.1129  0.06
Ba 0.7045 0.5916 0.1889  0.06
Ba 0.9844 0.3871 0.2955  0.06
Ba 0.5916 0.8871 0.4027  0.06
Ba 0.8871 0.2955 0.4844  0.06
Ba 0.0916 0.9027 0.3871  0.06
Ba 0.9084 0.8111 0.7955  0.06
Ba 0.1129 0.7045 0.5156  0.06
Ba 0.6129 0.0156 0.2045  0.06
Ba 0.5156 0.2045 0.1129  0.06
Ba 0.2045 0.6889 0.0916  0.06
Ba 0.6129 0.5973 0.9084  0.06
Ba 0.8111 0.9027 0.0156  0.06
Ba 0.5973 0.6129 0.4084  0.06
Ba 0.3871 0.4027 0.0916  0.06
Ba 0.9027 0.0916 0.8871  0.06
Ba 0.3111 0.7955 0.4084  0.06
Ba 0.7955 0.4844 0.3871  0.06
Ba 0.0973 0.1889 0.4844  0.06
Ba 0.3111 0.5156 0.4027  0.06
Ba 0.4844 0.6889 0.0973  0.06
Ba 0.9084 0.0973 0.6129  0.06
Ba 0.1889 0.0916 0.7045  0.06
Ba 0.4027 0.3871 0.5916  0.06
Ba 0.3871 0.9844 0.7955  0.06
Ba 0.6889 0.4844 0.5973  0.06
Ba 0.5156 0.3111 0.9027  0.06
Ba 0.2955 0.4084 0.8111  0.06
Ba 0.9027 0.8111 0.5156  0.06
Ba 0.8871 0.5916 0.9027  0.06
Ba 0.4027 0.0156 0.3111  0.06
Ba 0.0156 0.4027 0.8111  0.06
Ba 0.5973 0.9844 0.6889  0.06
Ba 0.0156 0.6129 0.7045  0.06
Ba 0.0916 0.1889 0.2045  0.06
Ba 0.4844 0.7955 0.8871  0.06
Ba 0.4084 0.1129 0.5973  0.06
Ba 0.1129 0.4084 0.0973  0.06
Mg 0.7500 0.3750 0.1250  -0.01
Mg 0.1250 0.2500 0.8750  -0.01
Mg 0.2500 0.1250 0.3750  -0.01
Mg 0.6250 0.2500 0.3750  -0.01
Mg 0.2500 0.6250 0.8750  -0.01
Mg 0.8750 0.1250 0.2500  -0.01
Mg 0.1250 0.8750 0.7500  -0.01
Mg 0.7500 0.8750 0.6250  -0.01
Mg 0.3750 0.7500 0.6250  -0.01
Mg 0.8750 0.7500 0.1250  -0.01
Mg 0.3750 0.6250 0.2500  -0.01
Mg 0.6250 0.3750 0.7500  -0.01
F 0.0000 0.0000 0.5000  0.00
F 0.6250 0.7500 0.8750  0.01
F 0.1250 0.7500 0.3750  0.01
F 0.8750 0.2500 0.6250  0.01
F 0.0000 0.5000 0.0000  0.00
F 0.8750 0.6250 0.7500  0.01
F 0.3750 0.1250 0.7500  0.01
F 0.5000 0.0000 0.5000  0.00
F 0.5000 0.5000 0.0000  0.00
F 0.1250 0.3750 0.2500  0.01
F 0.7500 0.1250 0.8750  0.01
F 0.0000 0.5000 0.5000  0.00
F 0.0000 0.0000 0.0000  0.00
F 0.5000 0.0000 0.0000  0.00
F 0.5000 0.5000 0.5000  0.00
F 0.7500 0.6250 0.3750  0.01
F 0.3750 0.2500 0.1250  0.01
F 0.2500 0.3750 0.6250  0.01
F 0.6250 0.8750 0.2500  0.01
F 0.2500 0.8750 0.1250  0.01

***

Record 5
## BaMgF5 (PBE)

Data for an optimized crystal structure of BaMgF5.

SG = P4/mmm (123)

a b c (Å): 3.6620 3.6620 7.1671
angles (deg): 90.00 90.00 90.00
Site moments in Bohr magnetons follow the coordinates.
Fractional positions:
F 0.0000 0.5000 0.6749  0.23
F 0.5000 0.5000 0.0000  0.02
F 0.5000 0.0000 0.3251  0.23
F 0.0000 0.5000 0.3251  0.23
F 0.5000 0.0000 0.6749  0.23
Ba 0.0000 0.0000 0.0000  0.00
Mg 0.0000 0.0000 0.5000  0.00

***

Record 6
## BaMgF3 (PBE)

Data for an optimized crystal structure of BaMgF3.

Polymorph energy (0 for the lowest one) = 0.0000 eV per atom
SG = Pm-3m (221)

a b c (Å): 4.3272 4.3272 4.3272
angles (deg): 90.00 90.00 90.00
Fractional positions:
F 0.0000 0.0000 0.5000
F 0.0000 0.5000 0.0000
F 0.5000 0.0000 0.0000
Mg 0.0000 0.0000 0.0000
Ba 0.5000 0.5000 0.5000

***

Record 7
## Ba2MgF (PBE)

Data for an optimized crystal structure of Ba2MgF.

Polymorph energy (0 for the lowest one) = 0.1000 eV per atom
SG = R-3m (166)

a b c (Å): 4.3019 4.3019 9.0887
angles (deg): 76.31 76.31 60.00
Site moments in Bohr magnetons follow the coordinates.
Fractional positions:
F 0.0000 0.0000 0.0000  0.02
Mg 0.5000 0.5000 0.5000  0.02
Ba 0.2708 0.2708 0.1875  0.22
Ba 0.7292 0.7292 0.8125  0.22

***

Record 8
## BaMgF2 (PBE)

Data for an optimized crystal structure of BaMgF2.

Polymorph energy (0 for the lowest one) = 0.3841 eV per atom
SG = I-42d (122)

a b c (Å): 5.5684 5.5684 7.0212
angles (deg): 66.64 66.64 90.00
Site moments in Bohr magnetons follow the coordinates.
Fractional positions:
Mg 0.5000 0.5000 0.0000  0.02
Mg 0.2500 0.7500 0.5000  0.02
Ba 0.7500 0.2500 0.5000  0.26
Ba 0.0000 0.0000 0.0000  0.26
F 0.8750 0.7311 0.7500  0.03
F 0.3750 0.5189 0.7500  0.03
F 0.2689 0.6250 0.2500  0.03
F 0.4811 0.1250 0.2500  0.03

***

Record 9
## Ba2MgF (PBE)

Data for an optimized crystal structure of Ba2MgF.

Polymorph energy (0 for the lowest one) = 0.4869 eV per atom
SG = Fm-3m (225)

a b c (Å): 5.9524 5.9524 5.9524
angles (deg): 60.00 60.00 60.00
Fractional positions:
Ba 0.2500 0.2500 0.2500
Ba 0.7500 0.7500 0.7500
Mg 0.5000 0.5000 0.5000
F 0.0000 0.0000 0.0000

***

Record 10
## Ba4Mg6F19 (PBE)

Data for an optimized crystal structure of Ba4Mg6F19.

SG = I23 (197)

a b c (Å): 8.3102 8.3102 8.3102
angles (deg): 109.47 109.47 109.47
Fractional positions:
F 0.3672 0.7350 0.0491
F 0.9509 0.6859 0.3181
F 0.3572 0.3572 0.0000
F 0.6428 0.6428 0.0000
F 0.0000 0.3572 0.3572
F 0.0491 0.3672 0.7350
F 0.3181 0.9509 0.6859
F 0.6859 0.3181 0.9509
F 0.3572 0.0000 0.3572
F 0.6428 0.0000 0.6428
F 0.3141 0.2650 0.6322
F 0.0000 0.0000 0.0000
F 0.6322 0.3141 0.2650
F 0.6819 0.3678 0.6328
F 0.3678 0.6328 0.6819
F 0.7350 0.0491 0.3672
F 0.0000 0.6428 0.6428
F 0.6328 0.6819 0.3678
F 0.2650 0.6322 0.3141
Mg 0.1582 0.6582 0.5000
Mg 0.8418 0.3418 0.5000
Mg 0.5000 0.1582 0.6582
Mg 0.5000 0.8418 0.3418
Mg 0.6582 0.5000 0.1582
Mg 0.3418 0.5000 0.8418
Ba 0.6671 0.0000 0.0000
Ba 0.0000 0.6671 0.0000
Ba 0.3329 0.3329 0.3329
Ba 0.0000 0.0000 0.6671

***

Record 11
## Ba4Mg2F (PBE)

Data for an optimized crystal structure of Ba4Mg2F.

SG = I4/mmm (139)

a b c (Å): 5.5185 5.5185 10.5572
angles (deg): 105.15 105.15 90.00
Fractional positions:
Ba 0.1811 0.1811 0.3622
Ba 0.0000 0.5000 0.0000
Ba 0.8189 0.8189 0.6378
Ba 0.5000 0.0000 0.0000
Mg 0.6288 0.6288 0.2576
Mg 0.3712 0.3712 0.7424
F 0.0000 0.0000 0.0000

***

Record 12
## BaMg3F9 (PBE)

Data for an optimized crystal structure of BaMg3F9.

SG = P6/mmm (191)

a b c (Å): 3.9455 7.3926 7.3926
angles (deg): 120.00 90.00 90.00
Site moments in Bohr magnetons follow the coordinates.
Fractional positions:
Mg 0.5000 0.5000 0.0000  0.00
Mg 0.5000 0.5000 0.5000  0.00
Mg 0.5000 0.0000 0.5000  0.00
F 0.5000 0.8056 0.6112  0.08
F 0.5000 0.1944 0.8056  0.08
F 0.0000 0.5000 0.0000  0.18
F 0.0000 0.0000 0.5000  0.18
F 0.0000 0.5000 0.5000  0.18
F 0.5000 0.3888 0.1944  0.08
F 0.5000 0.6112 0.8056  0.08
F 0.5000 0.8056 0.1944  0.08
F 0.5000 0.1944 0.3888  0.08
Ba 0.0000 0.0000 0.0000  0.00

***

Record 13
## Ba2MgF (PBE)

Data for an optimized crystal structure of Ba2MgF.

Polymorph energy (0 for the lowest one) = 0.0000 eV per atom
SG = I-42d (122)

a b c (Å): 8.2193 8.2193 7.4479
angles (deg): 56.51 56.51 90.00
Fractional positions:
Ba 0.8750 0.7749 0.7500
Ba 0.5249 0.1250 0.2500
Ba 0.3750 0.4751 0.7500
Ba 0.2251 0.6250 0.2500
Mg 0.7500 0.2500 0.5000
Mg 0.0000 0.0000 0.0000
F 0.2500 0.7500 0.5000
F 0.5000 0.5000 0.0000

***

Record 14
## BaMg2F7 (PBE)

Data for an optimized crystal structure of BaMg2F7.

SG = Cmmm (65)

a b c (Å): 3.9420 6.2358 6.2358
angles (deg): 117.25 90.00 90.00
Site moments in Bohr magnetons follow the coordinates.
Fractional positions:
F 0.5000 0.5000 0.5000  0.39
F 0.5000 0.0626 0.3333  0.12
F 0.0000 0.2823 0.7177  0.07
F 0.5000 0.6667 0.9374  0.12
F 0.0000 0.7177 0.2823  0.07
F 0.5000 0.3333 0.0626  0.12
F 0.5000 0.9374 0.6667  0.12
Ba 0.0000 0.0000 0.0000  0.00
Mg 0.5000 0.3026 0.6974  0.00
Mg 0.5000 0.6974 0.3026  0.00

***

Record 15
## Ba2Mg3F10 (PBE)

Data for an optimized crystal structure of Ba2Mg3F10.

SG = C2/m (12)

a b c (Å): 6.0280 7.9447 9.8280
angles (deg): 110.80 107.87 90.00
Fractional positions:
F 0.7636 0.7247 0.5271
F 0.7816 0.5000 0.0000
F 0.0000 0.0000 0.5000
F 0.0229 0.1822 0.0459
F 0.9771 0.8178 0.9541
F 0.1343 0.7433 0.2688
F 0.1418 0.9752 0.7785
F 0.3867 0.4757 0.2983
F 0.4835 0.8217 0.9671
F 0.3633 0.0249 0.2215
F 0.2184 0.5000 0.0000
F 0.5000 0.0000 0.5000
F 0.6367 0.9751 0.7785
F 0.9115 0.4757 0.2983
F 0.8657 0.2567 0.7312
F 0.5165 0.1783 0.0329
F 0.8582 0.0248 0.2215
F 0.2364 0.2753 0.4729
F 0.0885 0.5243 0.7017
F 0.6133 0.5243 0.7017
Mg 0.7464 0.0000 0.0000
Mg 0.2536 0.0000 0.0000
Mg 0.1768 0.0128 0.3538
Mg 0.0746 0.4541 0.1491
Mg 0.8232 0.9872 0.6462
Mg 0.9254 0.5459 0.8509
Ba 0.2842 0.6858 0.5684
Ba 0.3865 0.2808 0.7730
Ba 0.7158 0.3142 0.4316
Ba 0.6135 0.7192 0.2270

***

Record 16
## BaMgF3 (PBE)

Data for an optimized crystal structure of BaMgF3.

Polymorph energy (0 for the lowest one) = 0.4708 eV per atom
SG = Pm-3m (221)

a b c (Å): 5.0808 5.0808 5.0808
angles (deg): 90.00 90.00 90.00
Site moments in Bohr magnetons follow the coordinates.
Fractional positions:
Mg 0.5000 0.5000 0.5000  0.22
F 0.0000 0.0000 0.5000  0.03
F 0.0000 0.5000 0.0000  0.04
F 0.5000 0.0000 0.0000  0.03
Ba 0.0000 0.0000 0.0000  0.00

***

Record 17
## Ba5Mg2F12 (PBE)

Data for an optimized crystal structure of Ba5Mg2F12.

SG = C2/m (12)

a b c (Å): 6.3857 7.6570 8.8065
angles (deg): 102.79 90.00 114.64
Site moments in Bohr magnetons follow the coordinates.
Fractional positions:
F 0.5080 0.0161 0.8585  0.00
F 0.5859 0.7007 0.9250  0.00
F 0.0599 0.6492 0.3947  0.00
F 0.9401 0.3508 0.6053  0.00
F 0.1148 0.7007 0.9250  0.00
F 0.4141 0.2993 0.0750  0.00
F 0.9889 0.9778 0.1479  0.00
F 0.5893 0.6492 0.3947  0.00
F 0.0111 0.0222 0.8521  0.00
F 0.4107 0.3508 0.6053  0.00
F 0.8852 0.2993 0.0750  0.00
F 0.4920 0.9839 0.1415  0.00
Ba 0.3030 0.6059 0.1604  0.01
Ba 0.3356 0.6713 0.6424  0.03
Ba 0.6970 0.3941 0.8396  0.01
Ba 0.6644 0.3287 0.3576  0.03
Ba 0.0000 0.0000 0.5000  0.06
Mg 0.2380 0.0000 0.0000  0.00
Mg 0.7620 0.0000 0.0000  0.00

***

Record 18
## BaMgF2 (PBE)

Data for an optimized crystal structure of BaMgF2.

Polymorph energy (0 for the lowest one) = 0.4090 eV per atom
SG = R-3m (166)

a b c (Å): 7.6375 7.6375 7.6375
angles (deg): 26.86 26.86 26.86
Site moments in Bohr magnetons follow the coordinates.
Fractional positions:
F 0.8703 0.8703 0.8703  0.02
F 0.1297 0.1297 0.1297  0.02
Mg 0.5000 0.5000 0.5000  0.01
Ba 0.0000 0.0000 0.0000  0.28

***

Number 1: theoretical density 3.4 g cm⁻³, uncorrected formation energy -3453 meV/atom. Number 2: theoretical density 4.5 g cm⁻³, uncorrected formation energy -3669 meV/atom. Number 3: theoretical density 4.0 g cm⁻³, uncorrected formation energy -2181 meV/atom. Number 4: theoretical density 3.7 g cm⁻³, uncorrected formation energy -1335 meV/atom. Number 5: theoretical density 4.4 g cm⁻³, uncorrected formation energy -2925 meV/atom. Number 6: theoretical density 4.5 g cm⁻³, uncorrected formation energy -2979 meV/atom. Number 7: theoretical density 3.8 g cm⁻³, uncorrected formation energy -1190 meV/atom. Number 8: theoretical density 3.7 g cm⁻³, uncorrected formation energy -2253 meV/atom. Number 9: theoretical density 3.5 g cm⁻³, uncorrected formation energy -803 meV/atom. Number 10: theoretical density 4.0 g cm⁻³, uncorrected formation energy -3582 meV/atom. Number 11: theoretical density 3.4 g cm⁻³, uncorrected formation energy -723 meV/atom. Number 12: theoretical density 3.4 g cm⁻³, uncorrected formation energy -3217 meV/atom. Number 13: theoretical density 3.4 g cm⁻³, uncorrected formation energy -1290 meV/atom. Number 14: theoretical density 3.9 g cm⁻³, uncorrected formation energy -3210 meV/atom. Number 15: theoretical density 4.3 g cm⁻³, uncorrected formation energy -3676 meV/atom. Number 16: theoretical density 2.8 g cm⁻³, uncorrected formation energy -2508 meV/atom. Number 17: theoretical density 4.2 g cm⁻³, uncorrected formation energy -3470 meV/atom. Number 18: theoretical density 4.1 g cm⁻³, uncorrected formation energy -2228 meV/atom.